Entry 1:
# BaNa2Ac, optimized geometry, DFT PBE
# E above lowest polymorph   0.000 eV/atom
# DOS at the Fermi energy   1.46 states/eV per atom
# E   -8.00 eV/cell
data_BaNa2Ac
_chemical_formula_sum 'Ba1 Na2 Ac1'
_space_group_name_H-M_alt 'P 4/m m m'
_space_group_IT_number 123
_space_group_name_Hall '-P 4 2'
_cell_length_a 4.4643
_cell_length_b 4.4643
_cell_length_c 9.2012
_cell_angle_alpha 90.00
_cell_angle_beta 90.00
_cell_angle_gamma 90.00
loop_
_atom_site_label
_atom_site_type_symbol
_atom_site_fract_x
_atom_site_fract_y
_atom_site_fract_z
Ba1 Ba 0.0000 0.0000 0.0000
Na1 Na 0.5000 0.5000 0.2636
Ac1 Ac 0.0000 0.0000 0.5000

Entry 2:
# Cr2MoRh6, optimized geometry, DFT PBE
# E above lowest polymorph   0.000 eV/atom
# DOS at the Fermi energy   1.19 states/eV per atom
# E   -149.87 eV/cell
data_Cr2MoRh6
_chemical_formula_sum 'Cr4 Mo2 Rh12'
_space_group_name_H-M_alt 'C 1 2/m 1'
_space_group_IT_number 12
_cell_length_a 8.5169
_cell_length_b 3.8253
_cell_length_c 8.0911
_cell_angle_alpha 90.00
_cell_angle_beta 108.14
_cell_angle_gamma 90.00
loop_
_space_group_symop_operation_xyz
'x,y,z'
'-x,-y,-z'
'-x,y,-z'
'x,-y,z'
'x+1/2,y+1/2,z'
'-x+1/2,-y+1/2,-z'
'-x+1/2,y+1/2,-z'
'x+1/2,-y+1/2,z'
loop_
_atom_site_label
_atom_site_type_symbol
_atom_site_fract_x
_atom_site_fract_y
_atom_site_fract_z
Cr1 Cr 0.1710 0.0000 0.2259
Mo1 Mo 0.0000 0.5000 0.0000
Rh1 Rh 0.0020 0.5000 0.3262
Rh2 Rh 0.1651 0.0000 0.8909
Rh3 Rh 0.1675 0.0000 0.5546